# 1
Zr6PdPt after structural relaxation. Source: Alexandria via LeMat-Bulk, functional PBE.

abc: 7.7368 7.7360 5.4780
angles: 45.03 45.03 59.97
Positions (direct):
Zr 0.5006 0.2485 0.2516
Zr 0.4994 0.7515 0.7484
Zr 0.2484 0.9994 0.2518
Zr 0.0002 0.4997 0.7485
Zr 0.7516 0.0006 0.7482
Zr 0.9998 0.5003 0.2515
Pt 0.0000 0.0000 0.0000
Pd 0.5000 0.5000 0.5000

relative energy among the computed polymorphs = 0.0193 eV/atom
total DFT energy (no corrections) = -65.99 eV/f.u.
DOS(E_F) = 10.28 states/eV/cell
space-group type = R-3, No. 148

---

# 2
Sn2Bi3Au4 after structural relaxation. Source: Alexandria via LeMat-Bulk, functional PBE.

abc: 4.7424 10.4251 10.4251
angles: 99.17 76.58 76.58
Positions (direct):
Au 0.6321 0.9229 0.3088
Au 0.1381 0.6690 0.5644
Au 0.1321 0.3088 0.9229
Au 0.3619 0.4356 0.3310
Au 0.6381 0.5644 0.6690
Au 0.8679 0.6912 0.0771
Au 0.8619 0.3310 0.4356
Au 0.3679 0.0771 0.6912
Bi 0.6163 0.2079 0.0562
Bi 0.3837 0.7921 0.9438
Bi 0.1163 0.0562 0.2079
Bi 0.7500 0.2752 0.7248
Bi 0.2500 0.7248 0.2752
Bi 0.8837 0.9438 0.7921
Sn 0.9233 0.4573 0.1898
Sn 0.5767 0.8102 0.5427
Sn 0.4233 0.1898 0.4573
Sn 0.0767 0.5427 0.8102

relative energy among the computed polymorphs = 0.0000 eV/atom
total DFT energy (no corrections) = -33.28 eV/f.u.
DOS(E_F) = 7.88 states/eV/cell
space-group type = C2/c, No. 15

---

# 3
NiHg2Mo after structural relaxation. Source: Alexandria via LeMat-Bulk, functional PBE.

abc: 5.1111 5.1111 2.8090
angles: 90.01 90.01 108.64
Positions (direct):
Hg 0.0000 0.0000 0.0000
Hg 0.5000 0.5000 0.0000
Ni 0.0000 0.5000 0.5000
Mo 0.5000 0.0000 0.5000

relative energy among the computed polymorphs = 0.2977 eV/atom
total DFT energy (no corrections) = -14.91 eV/f.u.
DOS(E_F) = 4.55 states/eV/cell
space-group type = Cmmm, No. 65

---

# 4
YScSiSe2 after structural relaxation. Source: Alexandria via LeMat-Bulk, functional PBE.

abc: 4.9316 6.2296 4.9316
angles: 90.00 90.00 90.00
Positions (direct):
Y 0.0000 0.5000 0.0000
Se 0.5000 0.0000 0.0000
Se 0.0000 0.0000 0.5000
Sc 0.0000 0.0000 0.0000
Si 0.5000 0.5000 0.5000

formation energy (no corrections) = 0.10 eV/atom
total DFT energy (no corrections) = -24.71 eV/f.u.
DOS(E_F) = 5.49 states/eV/cell
space-group type = P4/mmm, No. 123

---

# 5
LaAl2Fe2Si after structural relaxation. Source: Alexandria via LeMat-Bulk, functional PBE.

abc: 4.3032 4.3032 5.8050
angles: 90.00 90.00 90.00
Positions (direct):
Si 0.0000 0.0000 0.0000
Al 0.5000 0.5000 0.2443
Al 0.5000 0.5000 0.7557
Fe 0.5000 0.0000 0.0000
Fe 0.0000 0.5000 0.0000
La 0.0000 0.0000 0.5000

formation energy (no corrections) = -0.30 eV/atom
total DFT energy (no corrections) = -36.55 eV/f.u.
DOS(E_F) = 5.15 states/eV/cell
space-group type = P4/mmm, No. 123

---

# 6
NdGa2Au after structural relaxation. Source: Alexandria via LeMat-Bulk, functional PBE.

abc: 4.4008 4.4050 4.4050
angles: 90.00 90.00 90.00
Positions (direct):
Nd 0.5000 0.5000 0.5000
Ga 0.0000 0.5000 0.0000
Ga 0.0000 0.0000 0.5000
Au 0.5000 0.0000 0.0000

total DFT energy (no corrections) = -16.20 eV/f.u.
DOS(E_F) = 1.74 states/eV/cell
space-group type = P4/mmm, No. 123

---

# 7
K3Zr2CrTe6 after structural relaxation. Source: Alexandria via LeMat-Bulk, functional PBE.

abc: 7.4041 7.4041 8.5106
angles: 98.36 98.36 119.95
Positions (direct):
Cr 0.0000 0.0000 0.0000
K 0.1704 0.8296 0.5000
K 0.8296 0.1704 0.5000
K 0.5000 0.5000 0.5000
Te 0.9361 0.6114 0.8061
Te 0.6114 0.9361 0.8061
Te 0.3886 0.0639 0.1939
Te 0.7422 0.7422 0.1973
Te 0.2578 0.2578 0.8027
Te 0.0639 0.3886 0.1939
Zr 0.6646 0.3354 0.0000
Zr 0.3354 0.6646 0.0000

formation energy (no corrections) = -0.81 eV/atom
total DFT energy (no corrections) = -58.63 eV/f.u.
DOS(E_F) = 6.24 states/eV/cell
space-group type = C2/m, No. 12

---

# 8
CaIr2Br after structural relaxation. Source: Alexandria via LeMat-Bulk, functional PBE.

abc: 6.0482 3.7323 3.7323
angles: 90.00 90.00 90.00
Positions (direct):
Ca 0.5000 0.0000 0.5000
Ir 0.0000 0.0000 0.0000
Ir 0.0000 0.5000 0.5000
Br 0.5000 0.5000 0.0000

formation energy (no corrections) = 0.11 eV/atom
relative energy among the computed polymorphs = 0.3639 eV/atom
total DFT energy (no corrections) = -20.96 eV/f.u.
DOS(E_F) = 2.54 states/eV/cell
space-group type = P4/mmm, No. 123

---

Q: The highest total DFT energy (no corrections) belongs to which entry?
A: NiHg2Mo